Computed, not measured: a relaxed structure of CsMn2RuO at the GGA+U level of DFT.

Computed properties:
- calculated volume (Å³/atom) = 19.59
- DFT total energy (eV per cell) = -27.7
- space group = P4/mmm

```
data_CsMn2RuO
_symmetry_space_group_name_H-M 'P 1'
_symmetry_Int_Tables_number 1
_cell_length_a 4.173
_cell_length_b 5.624
_cell_length_c 4.173
_cell_angle_alpha 90.00
_cell_angle_beta 90.00
_cell_angle_gamma 90.00
loop_
_symmetry_equiv_pos_as_xyz
'x,y,z'
loop_
_atom_site_label
_atom_site_fract_x
_atom_site_fract_y
_atom_site_fract_z
_atom_site_occupancy
Cs1 0.000 0.500 0.000 1
Ru1 0.500 0.500 0.500 1
Mn1 0.000 0.000 0.500 1
Mn2 0.500 0.000 0.000 1
O1 0.000 0.000 0.000 1
```